# 1
Density functional theory data (GGA-PBE) for a relaxed PdRhIO2 crystal.

Computed properties:
As for the total energy: -24.4 eV/cell. The excess energy over the best structure of this formula in the dataset comes out at 0.0 meV/atom. The value obtained for the formation energy without anion corrections is -0.075 eV per atom. The crystal system is tetragonal.

Cell and atoms, written as CIF:
```
data_PdRhIO2
_chemical_formula_sum 'Pd1 Rh1 I1 O2'
_space_group_name_H-M_alt 'P 4/m m m'
_space_group_IT_number 123
_space_group_name_Hall '-P 4 2'
_cell_length_a 3.7827
_cell_length_b 3.7827
_cell_length_c 7.5014
_cell_angle_alpha 90.00
_cell_angle_beta 90.00
_cell_angle_gamma 90.00
loop_
_atom_site_label
_atom_site_type_symbol
_atom_site_fract_x
_atom_site_fract_y
_atom_site_fract_z
Pd1 Pd 0.0000 0.0000 0.0000
Rh1 Rh 0.5000 0.5000 0.5000
I1 I 0.5000 0.5000 0.0000
O1 O 0.0000 0.5000 0.5000
```

# 2
Density functional theory data (GGA-PBE) for a relaxed PdRuI2O crystal.

Computed properties:
As for the total energy: -19.0 eV/cell. The excess energy over the best structure of this formula in the dataset comes out at 635.2 meV/atom. The value obtained for the formation energy without anion corrections is 0.696 eV per atom. The crystal system is tetragonal.

Cell and atoms, written as CIF:
```
data_PdRuI2O
_chemical_formula_sum 'Pd1 Ru1 I2 O1'
_space_group_name_H-M_alt 'P 4/m m m'
_space_group_IT_number 123
_space_group_name_Hall '-P 4 2'
_cell_length_a 5.5891
_cell_length_b 5.5891
_cell_length_c 3.8406
_cell_angle_alpha 90.00
_cell_angle_beta 90.00
_cell_angle_gamma 90.00
loop_
_atom_site_label
_atom_site_type_symbol
_atom_site_fract_x
_atom_site_fract_y
_atom_site_fract_z
Pd1 Pd 0.0000 0.0000 0.0000
Ru1 Ru 0.5000 0.5000 0.5000
I1 I 0.0000 0.5000 0.0000
O1 O 0.0000 0.0000 0.5000
```

# 3
Density functional theory data (GGA-PBE) for a relaxed PdRuI2O crystal.

Computed properties:
As for the total energy: -22.2 eV/cell. The excess energy over the best structure of this formula in the dataset comes out at 0.0 meV/atom. The value obtained for the formation energy without anion corrections is 0.060 eV per atom. The crystal system is tetragonal.

Cell and atoms, written as CIF:
```
data_PdRuI2O
_chemical_formula_sum 'Pd1 Ru1 I2 O1'
_space_group_name_H-M_alt 'P 4/m m m'
_space_group_IT_number 123
_space_group_name_Hall '-P 4 2'
_cell_length_a 5.5216
_cell_length_b 5.5216
_cell_length_c 3.6789
_cell_angle_alpha 90.00
_cell_angle_beta 90.00
_cell_angle_gamma 90.00
loop_
_atom_site_label
_atom_site_type_symbol
_atom_site_fract_x
_atom_site_fract_y
_atom_site_fract_z
Pd1 Pd 0.0000 0.0000 0.0000
Ru1 Ru 0.5000 0.5000 0.5000
I1 I 0.0000 0.5000 0.5000
O1 O 0.5000 0.5000 0.0000
```

# 4
Density functional theory data (GGA-PBE) for a relaxed PdSI2O crystal.

Computed properties:
As for the total energy: -15.6 eV/cell. The excess energy over the best structure of this formula in the dataset comes out at 0.0 meV/atom. The value obtained for the formation energy without anion corrections is 0.359 eV per atom. The crystal system is tetragonal.

Cell and atoms, written as CIF:
```
data_PdSI2O
_chemical_formula_sum 'Pd1 S1 I2 O1'
_space_group_name_H-M_alt 'P 4/m m m'
_space_group_IT_number 123
_space_group_name_Hall '-P 4 2'
_cell_length_a 5.6215
_cell_length_b 5.6215
_cell_length_c 3.5133
_cell_angle_alpha 90.00
_cell_angle_beta 90.00
_cell_angle_gamma 90.00
loop_
_atom_site_label
_atom_site_type_symbol
_atom_site_fract_x
_atom_site_fract_y
_atom_site_fract_z
Pd1 Pd 0.0000 0.0000 0.0000
S1 S 0.5000 0.5000 0.5000
I1 I 0.0000 0.5000 0.5000
O1 O 0.5000 0.5000 0.0000
```

# 5
Density functional theory data (GGA-PBE) for a relaxed PdSI2O crystal.

Computed properties:
As for the total energy: -15.0 eV/cell. The excess energy over the best structure of this formula in the dataset comes out at 108.2 meV/atom. The value obtained for the formation energy without anion corrections is 0.467 eV per atom. The crystal system is tetragonal.

Cell and atoms, written as CIF:
```
data_PdSI2O
_chemical_formula_sum 'Pd1 S1 I2 O1'
_space_group_name_H-M_alt 'P 4/m m m'
_space_group_IT_number 123
_space_group_name_Hall '-P 4 2'
_cell_length_a 5.5557
_cell_length_b 5.5557
_cell_length_c 3.8600
_cell_angle_alpha 90.00
_cell_angle_beta 90.00
_cell_angle_gamma 90.00
loop_
_atom_site_label
_atom_site_type_symbol
_atom_site_fract_x
_atom_site_fract_y
_atom_site_fract_z
Pd1 Pd 0.0000 0.0000 0.0000
S1 S 0.5000 0.5000 0.5000
I1 I 0.0000 0.5000 0.0000
O1 O 0.0000 0.0000 0.5000
```

# 6
Density functional theory data (GGA-PBE) for a relaxed PdSIO2 crystal.

Computed properties:
As for the total energy: -19.1 eV/cell. The value obtained for the formation energy without anion corrections is 0.335 eV per atom. The crystal system is tetragonal.

Cell and atoms, written as CIF:
```
data_PdSIO2
_chemical_formula_sum 'Pd1 S1 I1 O2'
_space_group_name_H-M_alt 'P 4/m m m'
_space_group_IT_number 123
_space_group_name_Hall '-P 4 2'
_cell_length_a 3.8683
_cell_length_b 3.8683
_cell_length_c 8.1262
_cell_angle_alpha 90.00
_cell_angle_beta 90.00
_cell_angle_gamma 90.00
loop_
_atom_site_label
_atom_site_type_symbol
_atom_site_fract_x
_atom_site_fract_y
_atom_site_fract_z
Pd1 Pd 0.0000 0.0000 0.0000
S1 S 0.5000 0.5000 0.5000
I1 I 0.0000 0.0000 0.5000
O1 O 0.0000 0.5000 0.0000
```

# 7
Density functional theory data (GGA-PBE) for a relaxed PdSIO2 crystal.

Computed properties:
As for the total energy: -19.3 eV/cell. The value obtained for the formation energy without anion corrections is 0.299 eV per atom. The crystal system is tetragonal.

Cell and atoms, written as CIF:
```
data_PdSIO2
_chemical_formula_sum 'Pd1 S1 I1 O2'
_space_group_name_H-M_alt 'P 4/m m m'
_space_group_IT_number 123
_space_group_name_Hall '-P 4 2'
_cell_length_a 3.8816
_cell_length_b 3.8816
_cell_length_c 5.6500
_cell_angle_alpha 90.00
_cell_angle_beta 90.00
_cell_angle_gamma 90.00
loop_
_atom_site_label
_atom_site_type_symbol
_atom_site_fract_x
_atom_site_fract_y
_atom_site_fract_z
Pd1 Pd 0.0000 0.0000 0.0000
S1 S 0.5000 0.5000 0.0000
I1 I 0.0000 0.0000 0.5000
O1 O 0.0000 0.5000 0.5000
```

# 8
Density functional theory data (GGA-PBE) for a relaxed PdSIO2 crystal.

Computed properties:
As for the total energy: -19.7 eV/cell. The value obtained for the formation energy without anion corrections is 0.220 eV per atom. The crystal system is tetragonal.

Cell and atoms, written as CIF:
```
data_PdSIO2
_chemical_formula_sum 'Pd1 S1 I1 O2'
_space_group_name_H-M_alt 'P 4/m m m'
_space_group_IT_number 123
_space_group_name_Hall '-P 4 2'
_cell_length_a 3.6974
_cell_length_b 3.6974
_cell_length_c 7.2017
_cell_angle_alpha 90.00
_cell_angle_beta 90.00
_cell_angle_gamma 90.00
loop_
_atom_site_label
_atom_site_type_symbol
_atom_site_fract_x
_atom_site_fract_y
_atom_site_fract_z
Pd1 Pd 0.0000 0.0000 0.0000
S1 S 0.5000 0.5000 0.5000
I1 I 0.5000 0.5000 0.0000
O1 O 0.0000 0.5000 0.5000
```